# LiAcPt

A relaxed structure of LiAcPt (GGA-PBE, the Alexandria database).

Cell lengths 4.2848, 4.2848, 8.6032 Å; angles 104.42, 104.42, 90.00 degrees
Fractional positions:
Li 0.5000 0.0000 0.0000
Li 0.0000 0.5000 0.0000
Ac 0.6674 0.6674 0.3347
Ac 0.3326 0.3326 0.6653
Pt 0.1301 0.1301 0.2601
Pt 0.8699 0.8699 0.7399

Results
- Symmetry: I4/mmm
- E: -28.87 eV/cell
- Calculated formation energy: -791.3 meV per atom
- Excess energy over the best structure of this formula in the dataset: 0 meV per atom
- Magnetic moment: 0.0 μB per formula unit
- N(E_F): 1.4 states/eV/f.u.